# 1
This record from Alexandria describes an optimized crystal structure of HfAg2PF. The functional is GGA-PBE.

Cell: 5.355 5.355 3.955 Å, 90.00 90.00 90.00°
Space group P4/mmm (No. 123)
Inequivalent atoms, fractional coordinates:
Hf: 0.000 0.000 0.000 x1
Ag: 0.000 0.500 0.000 x2
P: 0.500 0.500 0.500 x1
F: 0.000 0.000 0.500 x1

E_form (uncorrected): 0.060 eV/atom
Theoretical density: 6503 kg/m³

# 2
This record from Alexandria describes an optimized crystal structure of HfAg2PbF8. The functional is GGA-PBE.

Cell: 3.846 8.029 6.010 Å, 90.00 90.24 90.00°
Space group P2/m (No. 10)
Inequivalent atoms, fractional coordinates:
Hf: 0.000 0.000 0.000 x1
Ag: 0.500 0.254 0.500 x2
Pb: 0.000 0.500 0.000 x1
F: 0.003 0.202 0.788 x4
F: 0.497 0.000 0.190 x2
F: 0.499 0.500 0.744 x2

E_form (uncorrected): -2.482 eV/atom
Theoretical density: 6741 kg/m³

Number 1: total magnetization 0.24 μB/f.u.. Number 2: total magnetization 0.00 μB/f.u..